Crystalline Mn2IrClO at its relaxed geometry. Source: the Alexandria database, functional PBE with a Hubbard U.

Structure (POSCAR):
```
Mn2IrClO
1.0
4.8002 0.0000 0.0000
0.0000 4.8002 0.0000
0.0000 0.0000 4.2555
Mn Ir Cl O
2 1 1 1
direct
0.0000 0.5000 0.0000
0.5000 0.0000 0.0000
0.0000 0.0000 0.5000
0.0000 0.0000 0.0000
0.5000 0.5000 0.5000
```

Values from the calculation:
Volume, Å³ per cell: 98.1
DOS at the Fermi energy, states/eV per atom: 0.2351
ρ, g cm⁻³: 5.99
Total DFT energy (no corrections), eV per atom: -5.02